Computed, not measured: a relaxed BaLa2Sn2 crystal at the GGA-PBE level of DFT.

Output
uncorrected energy: -22.48 eV per cell
DFT formation energy: -2.69 eV/f.u.
energy above the most stable polymorph in this dataset: 90 meV per atom
symmetry: I4/mmm, No. 139

a = 8.0406 Å, b = 8.0406 Å, c = 8.0406 Å
α = 142.97°, β = 142.97°, γ = 53.37°
Element x y z (fractional)
Ba: 0.0000 0.0000 0.0000
La: 0.2500 0.7500 0.5000
La: 0.7500 0.2500 0.5000
Sn: 0.3969 0.3969 0.0000
Sn: 0.6031 0.6031 0.0000